No. 1
# CdTc | Alexandria | PBE | relaxed
# E = -5.111 eV per atom
# Relative energy among the computed polymorphs = 418 meV/atom
# Calculated formation energy = 1.06 eV/f.u.
data_CdTc
_chemical_formula_sum 'Cd2 Tc2'
_space_group_name_H-M_alt 'P 63/m m c'
_space_group_IT_number 194
_space_group_name_Hall '-P 6c 2c'
_cell_length_a 2.8430
_cell_length_b 2.8430
_cell_length_c 9.7661
_cell_angle_alpha 90.00
_cell_angle_beta 90.00
_cell_angle_gamma 120.00
loop_
_atom_site_label
_atom_site_fract_x
_atom_site_fract_y
_atom_site_fract_z
Cd1 0.0000 0.0000 0.0000
Tc1 0.3333 0.6667 0.2500

No. 2
# Rb3Th3FeS8 | Alexandria | PBE | relaxed
# E = -5.920 eV per atom
data_Rb3Th3FeS8
_chemical_formula_sum 'Rb9 Th9 Fe3 S24'
_space_group_name_H-M_alt 'R -3 m'
_space_group_IT_number 166
_space_group_name_Hall '-R 3 2"'
_cell_length_a 8.1577
_cell_length_b 8.1577
_cell_length_c 23.5870
_cell_angle_alpha 90.00
_cell_angle_beta 90.00
_cell_angle_gamma 120.00
loop_
_atom_site_label
_atom_site_fract_x
_atom_site_fract_y
_atom_site_fract_z
Rb1 0.0000 0.5000 0.0000
Th1 0.0000 0.5000 0.5000
Fe1 0.0000 0.0000 0.5000
S1 0.0000 0.0000 0.2346
S2 0.0086 0.5043 0.2278

No. 3
# Ta2SiOs | Alexandria | PBE | relaxed
# E = -10.083 eV per atom
data_Ta2SiOs
_chemical_formula_sum 'Ta6 Si3 Os3'
_space_group_name_H-M_alt 'R -3 m'
_space_group_IT_number 166
_space_group_name_Hall '-R 3 2"'
_cell_length_a 2.8790
_cell_length_b 2.8790
_cell_length_c 26.8725
_cell_angle_alpha 90.00
_cell_angle_beta 90.00
_cell_angle_gamma 120.00
loop_
_atom_site_label
_atom_site_fract_x
_atom_site_fract_y
_atom_site_fract_z
Ta1 0.0000 0.0000 0.2488
Si1 0.0000 0.0000 0.5000
Os1 0.0000 0.0000 0.0000